(1)
Here is a relaxed structure of SmDy8Cd2 from Alexandria. Energies are from GGA-PBE.

extended XYZ file:
```
11
Lattice="-2.406 1.189 -4.901 -3.114 -8.010 1.483 -2.755 6.688 4.871" Properties=species:S:1:pos:R:3 pbc="T T T"
Dy -6.741 1.666 1.083
Dy -4.048 0.304 -0.891
Dy -6.822 -1.657 0.317
Dy -1.453 1.524 1.136
Dy -4.037 4.036 1.672
Dy -4.237 -4.169 -0.219
Dy -1.534 -1.799 0.370
Dy -4.226 -0.437 2.344
Cd -2.865 2.189 3.834
Cd -3.004 -3.510 2.520
Sm -1.203 0.594 -2.450
```

## Properties
E_form: 34 meV/atom
space group: No. 12
total magnetization: 0.00 μB/cell
crystal system: monoclinic

---

(2)
Here is a relaxed structure of ZnTe2NF from Alexandria. Energies are from GGA-PBE.

extended XYZ file:
```
5
Lattice="5.389 0.000 0.000 0.000 5.389 0.000 0.000 0.000 3.586" Properties=species:S:1:pos:R:3 pbc="T T T"
Zn 0.000 0.000 0.000
Te 0.000 2.694 0.000
Te 2.694 0.000 0.000
F 2.694 2.694 1.793
N 0.000 0.000 1.793
```

## Properties
formation energy (no corrections): 0.6510 eV/atom
space group: No. 123
total magnetization: 0.00 μB/cell
crystal system: tetragonal

---

(3)
Here is a relaxed structure of SrNbGa2Br from Alexandria. Energies are from GGA-PBE.

extended XYZ file:
```
5
Lattice="5.406 0.000 0.000 0.000 5.553 0.000 0.000 0.000 5.406" Properties=species:S:1:pos:R:3 pbc="T T T"
Ga 0.000 0.000 2.703
Ga 2.703 0.000 0.000
Sr 0.000 2.777 0.000
Nb 2.703 2.777 2.703
Br 0.000 0.000 0.000
```

## Properties
formation energy (no corrections): 0.7468 eV/atom
space group: No. 123
total magnetization: 3.53 μB/cell
crystal system: tetragonal

---

(4)
Here is a relaxed structure of Zr2TlSi from Alexandria. Energies are from GGA-PBE.

extended XYZ file:
```
4
Lattice="-0.123 4.066 -1.451 -1.780 -1.467 -3.958 -3.819 0.439 1.554" Properties=species:S:1:pos:R:3 pbc="T T T"
Zr 0.000 0.000 0.000
Zr -0.951 1.300 -2.705
Si -1.971 2.252 0.052
Tl -2.799 -0.514 -1.202
```

## Properties
formation energy (no corrections): -0.2055 eV/atom
space group: No. 47
total magnetization: 0.00 μB/cell
crystal system: orthorhombic

---

(5)
Here is a relaxed structure of P2IrPb from Alexandria. Energies are from GGA-PBE.

extended XYZ file:
```
4
Lattice="-1.936 3.323 0.455 -1.042 -0.025 -4.253 -4.267 -2.475 -0.079" Properties=species:S:1:pos:R:3 pbc="T T T"
Pb -2.295 1.036 -0.855
Ir -4.950 -0.213 -3.021
P -3.227 -1.586 -2.149
P -3.695 -2.139 -0.096
```

## Properties
E_form: -167 meV/atom
space group: No. 10
total magnetization: 0.00 μB/cell
crystal system: monoclinic

---

(6)
Here is a relaxed structure of RbHo4Te6 from Alexandria. Energies are from GGA-PBE.

extended XYZ file:
```
22
Lattice="4.425 0.000 0.000 -2.213 7.297 0.000 0.000 0.000 23.242" Properties=species:S:1:pos:R:3 pbc="T T T"
Rb 2.213 2.358 5.810
Rb 0.000 4.939 17.431
Te 2.213 0.000 11.621
Te 2.213 3.950 1.903
Te 2.213 6.683 15.175
Te 0.000 0.614 8.067
Te 2.213 2.156 17.431
Te 0.000 0.614 3.554
Te 0.000 5.141 5.810
Te 2.213 3.950 9.717
Te 0.000 3.347 21.338
Te 0.000 3.347 13.524
Te 2.213 0.000 0.000
Te 2.213 6.683 19.688
Ho 2.213 1.358 20.230
Ho 2.213 5.332 22.338
Ho 0.000 1.966 0.904
Ho 0.000 5.940 8.610
Ho 0.000 5.940 3.011
Ho 2.213 1.358 14.632
Ho 2.213 5.332 12.525
Ho 0.000 1.966 10.717
```

## Properties
formation energy (no corrections): -1.3190 eV/atom
space group: No. 63
total magnetization: 0.00 μB/cell
crystal system: orthorhombic

---

(7)
Here is a relaxed structure of Sr2Pr3Te6 from Alexandria. Energies are from GGA-PBE.

extended XYZ file:
```
11
Lattice="-2.494 -5.916 4.599 5.237 -4.523 3.803 -1.073 2.830 7.575" Properties=species:S:1:pos:R:3 pbc="T T T"
Pr 0.000 0.000 0.000
Pr 1.830 -6.959 5.602
Pr 0.914 -3.479 2.801
Te -0.895 -0.828 2.997
Te 0.014 -4.288 5.779
Te 0.955 -7.774 8.586
Te -2.672 -2.258 9.177
Te 0.715 0.166 7.392
Te 1.656 -3.320 10.198
Sr -0.869 -5.022 8.888
Sr 2.539 -2.586 7.089
```

## Properties
formation energy (no corrections): -1.5566 eV/atom
space group: No. 12
total magnetization: 0.00 μB/cell
crystal system: monoclinic

---

(8)
Here is a relaxed structure of LiHoAl2 from Alexandria. Energies are from GGA-PBE.

extended XYZ file:
```
4
Lattice="3.350 0.000 0.000 0.000 3.350 0.000 0.000 0.000 6.939" Properties=species:S:1:pos:R:3 pbc="T T T"
Li 1.675 1.675 0.000
Al 0.000 0.000 1.410
Al 0.000 0.000 5.529
Ho 1.675 1.675 3.470
```

## Properties
E_form: -262 meV/atom
space group: No. 123
total magnetization: 0.04 μB/cell
crystal system: tetragonal